(1)
Below is a geometry-optimized Pr2Dy7 structure, with properties calculated at the PBE level.

Values from the calculation:
Space group: P-31m, No. 162
E (eV/atom): -4.62
Magnetic moment (Bohr magnetons per cell): 0.0

a = 6.203 Å, b = 6.203 Å, c = 8.757 Å
α = 90.00°, β = 90.00°, γ = 120.00°
Atoms (fractional coordinates):
Pr1 0.333 0.667 0.000
Pr2 0.667 0.333 0.000
Dy1 0.000 0.000 0.000
Dy2 0.668 0.000 0.336
Dy3 0.000 0.668 0.336
Dy4 0.332 0.332 0.336
Dy5 0.000 0.332 0.664
Dy6 0.332 0.000 0.664
Dy7 0.668 0.668 0.664

=====

(2)
Below is a geometry-optimized PaBe2 structure, with properties calculated at the PBE level.

Values from the calculation:
Energy above the lowest structure with this stoichiometry (eV/atom): 0.0000
Space group: Fd-3m, No. 227
Magnetic moment (Bohr magnetons per cell): 0.0

a = 4.940 Å, b = 4.940 Å, c = 4.940 Å
α = 60.00°, β = 60.00°, γ = 60.00°
Atoms (fractional coordinates):
Be1 0.125 0.625 0.625
Be2 0.625 0.125 0.625
Be3 0.625 0.625 0.625
Be4 0.625 0.625 0.125
Pa1 0.000 0.000 0.000
Pa2 0.250 0.250 0.250